Entry 1:
The following is a PBE-GGA calculation of a relaxed structure of CaLa2MnAl, from Alexandria via LeMat-Bulk.

Cell: 5.246 5.246 5.061 Å, 90.00 90.00 90.00°
Positions (direct):
Ca 0.000 0.000 0.000
La 0.000 0.500 0.500
La 0.500 0.000 0.500
Mn 0.500 0.500 0.500
Al 0.500 0.500 0.000

Summary:
- M_tot: 0.000 μB per atom
- Final energy: -4.914 eV/atom
- Space-group type: P4/mmm
- Calculated volume: 27.86 Å³ per atom

Entry 2:
The following is a PBE-GGA calculation of a relaxed structure of NaPm2NpO6, from Alexandria via LeMat-Bulk.

Cell: 6.192 6.192 6.192 Å, 57.61 57.61 57.61°
Positions (direct):
Na 0.000 0.000 0.000
Pm 0.271 0.271 0.271
Pm 0.780 0.780 0.780
Np 0.484 0.484 0.484
O 0.117 0.659 0.402
O 0.210 0.580 0.855
O 0.402 0.117 0.659
O 0.580 0.855 0.210
O 0.659 0.402 0.117
O 0.855 0.210 0.580

Summary:
- Energy relative to the elements, uncorrected: -2975 meV per atom
- M_tot: 0.200 μB per atom
- Final energy: -8.326 eV/atom
- Space-group type: R3
- Calculated volume: 15.87 Å³ per atom

Entry 3:
The following is a PBE-GGA calculation of a relaxed structure of HoUN, from Alexandria via LeMat-Bulk.

Cell: 4.999 4.999 4.999 Å, 126.18 126.18 79.59°
Positions (direct):
Ho 0.000 0.000 0.000
U 0.469 0.469 0.000
N 0.723 0.723 0.000

Summary:
- Energy relative to the elements, uncorrected: 558 meV per atom
- M_tot: 1.018 μB per atom
- Final energy: -7.506 eV/atom
- Space-group type: I4mm
- Calculated volume: 26.22 Å³ per atom

Entry 4:
The following is a PBE-GGA calculation of a relaxed structure of PmTm2CdPd4, from Alexandria via LeMat-Bulk.

Cell: 8.452 8.452 8.452 Å, 33.58 33.58 33.58°
Positions (direct):
Pm 0.000 0.000 0.000
Tm 0.243 0.243 0.243
Tm 0.757 0.757 0.757
Cd 0.500 0.500 0.500
Pd 0.123 0.123 0.123
Pd 0.377 0.377 0.377
Pd 0.623 0.623 0.623
Pd 0.877 0.877 0.877

Summary:
- M_tot: 0.000 μB per atom
- Final energy: -5.209 eV/atom
- Space-group type: R-3m
- Calculated volume: 20.56 Å³ per atom

What are the mass density values for these records? In order: 4.77, 6.76, 8.80, 10.31 g/cm3.